No. 1
CrMo8: optimized geometry, PBE-GGA.

Results
V   283.7 Å³ per cell
Size of the total moment   0.007 Bohr magnetons per cell
ΔE to the lowest computed polymorph   305.5 meV/atom

Lattice parameters (Å, degrees): 7.8517 7.8517 4.6020 90.00 90.00 90.00
Space group I4/mmm (No. 139)
Unique sites:
1 Cr 0.0000 0.0000 0.0000 (multiplicity 2)
2 Mo 0.0000 0.3259 0.0000 (multiplicity 8)
3 Mo 0.1639 0.1639 0.5000 (multiplicity 8)


No. 2
Cr2Mo: optimized geometry, PBE-GGA.

Results
V   157.9 Å³ per cell
Size of the total moment   0.000 Bohr magnetons per cell
ΔE to the lowest computed polymorph   32.1 meV/atom

Lattice parameters (Å, degrees): 2.9874 4.2472 12.4474 90.00 90.00 90.00
Space group Fmmm (No. 69)
Unique sites:
1 Cr 0.0000 0.0000 0.1739 (multiplicity 8)
2 Mo 0.0000 0.0000 0.5000 (multiplicity 4)


Number 1: formation energy from the elements 0.318 eV/atom. Number 2: formation energy from the elements 0.092 eV/atom.